Entry 1:
VASP calculation (PBE) on a relaxed structure of YMg2Pb.

a = 11.7915 Å, b = 3.4388 Å, c = 5.8060 Å
α = 90.00°, β = 114.56°, γ = 90.00°
Closest atoms and distances in Å follow each position.
Space group Cm (No. 8)
Unique sites:
Y  0.0000  0.0000  0.0000 x2  3 Pb 3.15-3.29, 7 Mg 3.34-3.46, 2 Y 3.44
Mg  0.2405  0.0000  0.5855 x2  5 Mg 3.19-3.44, 4 Pb 3.30-3.45, 3 Y 3.40-3.46
Mg  0.4901  0.0000  0.4985 x2  5 Mg 3.19-3.44, 3 Pb 3.33-3.50, 4 Y 3.34-3.41
Pb  0.2520  0.5000  0.0806 x2  3 Y 3.15-3.29, 7 Mg 3.30-3.50, 2 Pb 3.44

## Properties
energy of formation from the pure elements	-0.57	eV per formula unit

Entry 2:
VASP calculation (PBE) on a relaxed structure of Gd2Al4CoGe2.

a = 4.1512 Å, b = 4.1512 Å, c = 19.6496 Å
α = 90.00°, β = 90.00°, γ = 90.00°
Closest atoms and distances in Å follow each position.
Space group I4/mmm (No. 139)
Unique sites:
Gd  0.0000  0.0000  0.1835 x4  5 Ge 2.96-3.03, 4 Al 3.11
Al  0.0000  0.5000  0.0654 x8  2 Co 2.44, 1 Al 2.57
Co  0.0000  0.0000  0.0000 x2  8 Al 2.44
Ge  0.0000  0.0000  0.3378 x4  4 Al 2.82, 5 Gd 2.96-3.03

## Properties
energy of formation from the pure elements	-5.90	eV per formula unit

Entry 3:
VASP calculation (PBE) on a relaxed structure of CdHPd2Pt.

a = 3.9561 Å, b = 3.9561 Å, c = 4.3820 Å
α = 90.00°, β = 90.00°, γ = 90.00°
Closest atoms and distances in Å follow each position.
Space group P4/mmm (No. 123)
Unique sites:
Cd  0.0000  0.0000  0.0000 x1  2 H 2.19
H  0.0000  0.0000  0.5000 x1  4 Pd 1.98, 2 Cd 2.19
Pd  0.0000  0.5000  0.5000 x2  2 H 1.98
Pt  0.5000  0.5000  0.0000 x1  4 Cd 2.80, 8 Pd 2.95

## Properties
energy above the lowest structure with this stoichiometry	0.138	eV per atom

DOS at the Fermi energy (computed, states/eV/atom): 0.615 0.349 0.699